# 1
# ZnMo3Pd, optimized geometry, DFT GGA-PBE
data_ZnMo3Pd
_symmetry_space_group_name_H-M 'P m -3 m'
_symmetry_Int_Tables_number 221
_symmetry_space_group_name_Hall '-P 4 2 3'
_cell_length_a 4.520
_cell_length_b 4.520
_cell_length_c 4.520
_cell_angle_alpha 90.00
_cell_angle_beta 90.00
_cell_angle_gamma 90.00
loop_
_atom_site_label
_atom_site_fract_x
_atom_site_fract_y
_atom_site_fract_z
Zn1 0.000 0.000 0.000
Mo1 0.000 0.000 0.500
Pd1 0.500 0.500 0.500
# Energy above the lowest structure with this stoichiometry: 0.0 meV per atom
# DFT formation energy: 1.6309 eV/atom
# Total magnetic moment: 0.00 Bohr magnetons per cell
# Crystal system: cubic
# Fermi-level density of states: 5.1 states/eV/f.u.

***

# 2
# CePr5Tm4, optimized geometry, DFT GGA-PBE
data_CePr5Tm4
_symmetry_space_group_name_H-M 'P 1'
_symmetry_Int_Tables_number 1
_symmetry_space_group_name_Hall 'P 1'
_cell_length_a 6.392
_cell_length_b 6.515
_cell_length_c 9.604
_cell_angle_alpha 106.40
_cell_angle_beta 93.35
_cell_angle_gamma 116.64
loop_
_atom_site_label
_atom_site_fract_x
_atom_site_fract_y
_atom_site_fract_z
Ce1 0.000 0.000 0.000
Pr1 0.068 0.291 0.381
Pr2 0.482 0.821 0.727
Pr3 0.516 0.104 0.106
Pr4 0.719 0.660 0.387
Pr5 0.830 0.464 0.719
Tm1 0.020 0.541 0.088
Tm2 0.141 0.129 0.699
Tm3 0.386 0.967 0.414
Tm4 0.514 0.567 0.014
# DFT formation energy: 0.1543 eV/atom
# Total magnetic moment: 0.52 Bohr magnetons per cell
# Crystal system: triclinic
# Fermi-level density of states: 17.2 states/eV/f.u.